1.
{
  "formula": "CeHoIn2",
  "functional": "SCAN",
  "state": "single point on PBEsol structure",
  "magmom_total_mub_per_cell": 0.89,
  "final_energy_ev_per_atom": -40.651,
  "delta_e_f_mev_per_atom": -569,
  "lattice": [[0.000, 3.731, 3.731], [3.731, 0.000, 3.731], [3.731, 3.731, 0.000]],
  "species": ["Ce", "Ho", "In", "In"],
  "frac_coords": [[0.000, 0.000, 0.000], [0.500, 0.500, 0.500], [0.250, 0.250, 0.250], [0.750, 0.750, 0.750]]
}

2.
{
  "formula": "MnTl2Br",
  "functional": "SCAN",
  "state": "single point on PBEsol structure",
  "magmom_total_mub_per_cell": 4.48,
  "final_energy_ev_per_atom": -45.609,
  "lattice": [[-2.169, 2.169, 5.423], [2.169, -2.169, 5.423], [2.169, 2.169, -5.423]],
  "species": ["Mn", "Tl", "Tl", "Br"],
  "frac_coords": [[0.000, 0.000, 0.000], [0.500, 0.500, 0.000], [0.750, 0.250, 0.500], [0.250, 0.750, 0.500]]
}